First-principles (GGA-PBE) data for a relaxed structure of Gd2Ho2C3, as listed in OQMD via LeMat-Bulk.

Lattice parameters (Å, degrees): 6.7926 6.7926 6.0942 114.05 114.05 31.79
Fractional coordinates of all 7 atoms:
Gd (0.1357, 0.1357, 0.4939)
Gd (0.8643, 0.8643, 0.5061)
Ho (0.3664, 0.3664, 0.0551)
Ho (0.6337, 0.6337, 0.9449)
C (0.2204, 0.2204, 0.2037)
C (0.5000, 0.5000, 0.5000)
C (0.7796, 0.7796, 0.7963)

Properties
The calculation puts the electronic total energy at -6.789 eV per atom. The volume comes out at 134.2 Å³ per cell. Its space-group type is No. 12.